Record 1
Compound: CaTcW2
Source: Alexandria
Functional: PBE
Structure: relaxed

Geometry as POSCAR:
```
CaTcW2
1.0
-2.4254 2.6175 -3.1463
-3.2274 -0.5037 2.0689
0.8052 3.1892 2.0325
W Ca Tc
2 1 1
Direct
0.0000 0.5000 0.5000 W
0.0000 0.0000 0.0000 W
0.5000 0.5000 0.0000 Ca
0.5000 0.0000 0.5000 Tc
```

Properties
Crystal system: tetragonal
Energy relative to the elements in meV/atom: 965
Excess energy over the best structure of this formula in the dataset in meV per atom: 471

Record 2
Compound: Sr2TlRh4Pb3
Source: Alexandria
Functional: PBE
Structure: relaxed

Geometry as POSCAR:
```
Sr2TlRh4Pb3
1.0
-0.3616 -3.7522 2.7078
4.5911 0.0480 0.6796
-1.3974 6.6107 8.9739
Sr Pb Tl Rh
2 3 1 4
Direct
0.0000 0.5000 0.7580 Sr
0.5000 0.0000 0.2420 Sr
0.0000 0.5000 0.1263 Pb
0.0000 0.0000 0.5000 Pb
0.5000 0.0000 0.8737 Pb
0.5000 0.5000 0.5000 Tl
0.0000 0.5000 0.3652 Rh
0.0000 0.0000 0.0000 Rh
0.5000 0.0000 0.6348 Rh
0.5000 0.5000 0.0000 Rh
```

Properties
Crystal system: tetragonal
Energy relative to the elements in meV/atom: -289

Record 3
Compound: RuBrO2
Source: Alexandria
Functional: PBE
Structure: relaxed

Geometry as POSCAR:
```
RuBrO2
1.0
1.7608 0.0000 8.1299
-0.8804 1.5249 8.1299
-0.8804 -1.5249 8.1299
Br Ru O
1 1 2
Direct
0.0000 0.0000 0.0000 Br
0.5000 0.5000 0.5000 Ru
0.1273 0.1273 0.1273 O
0.8727 0.8727 0.8727 O
```

Properties
Uncorrected formation energy in eV per atom: -0.385
Crystal system: trigonal
Excess energy over the best structure of this formula in the dataset in meV per atom: 0

Record 4
Compound: TaVTc2
Source: Alexandria
Functional: PBE
Structure: relaxed

Geometry as POSCAR:
```
TaVTc2
1.0
-0.7964 -0.3634 -5.5878
-3.3074 -1.4947 4.3378
-0.1256 2.8888 4.8609
Tc V Ta
2 1 1
Direct
0.0000 0.7754 0.7754 Tc
0.0000 0.2246 0.2246 Tc
0.0000 0.0000 0.0000 V
0.0000 0.5000 0.5000 Ta
```

Properties
Crystal system: orthorhombic
Energy relative to the elements in meV/atom: 502

Record 5
Compound: Tb2SmHoBi4
Source: Alexandria
Functional: PBE
Structure: relaxed

Geometry as POSCAR:
```
Tb2SmHoBi4
1.0
4.5041 0.0000 0.0000
0.0000 7.7953 -0.1538
0.0000 2.7432 7.2970
Bi Sm Tb Ho
4 1 2 1
Direct
0.0000 0.2478 0.2538 Bi
0.5000 0.7501 0.2529 Bi
0.5000 0.2499 0.7471 Bi
0.0000 0.7522 0.7462 Bi
0.5000 0.5000 0.0000 Sm
0.5000 0.0000 0.5000 Tb
0.0000 0.0000 0.0000 Tb
0.0000 0.5000 0.5000 Ho
```

Properties
Crystal system: monoclinic
Energy relative to the elements in meV/atom: -878

Record 6
Compound: LiSc
Source: Alexandria
Functional: PBE
Structure: relaxed

Geometry as POSCAR:
```
LiSc
1.0
3.2356 0.0000 0.0000
-1.6178 2.8021 0.0000
0.0000 0.0000 10.0973
Li Sc
2 2
Direct
0.6667 0.3333 0.2433 Li
0.0000 0.0000 0.0067 Li
0.0000 0.0000 0.4999 Sc
0.6667 0.3333 0.7501 Sc
```

Properties
Crystal system: trigonal
Energy relative to the elements in meV/atom: 92
Excess energy over the best structure of this formula in the dataset in meV per atom: 0

Record 7
Compound: TbThAgAu
Source: Alexandria
Functional: PBE
Structure: relaxed

Geometry as POSCAR:
```
TbThAgAu
1.0
-1.3048 -4.9441 1.0275
2.2861 -3.8961 -2.6069
3.3807 -3.1370 2.4357
Ag Tb Au Th
1 1 1 1
Direct
0.2500 0.2500 0.2500 Ag
0.0000 0.0000 0.0000 Tb
0.7500 0.7500 0.7500 Au
0.5000 0.5000 0.5000 Th
```

Properties
Crystal system: cubic
Energy relative to the elements in meV/atom: -412

Record 8
Compound: Tm5ZrPb4
Source: Alexandria
Functional: PBE
Structure: relaxed

Geometry as POSCAR:
```
Tm5ZrPb4
1.0
3.6752 0.0000 0.0000
0.0000 9.3202 0.7324
-1.8376 -0.6469 8.5502
Pb Tm Zr
4 5 1
Direct
0.0268 0.2436 0.0537 Pb
0.9732 0.7564 0.9463 Pb
0.6782 0.0751 0.3564 Pb
0.3218 0.9249 0.6436 Pb
0.8457 0.2352 0.6915 Tm
0.1543 0.7648 0.3085 Tm
0.8089 0.6060 0.6178 Tm
0.1911 0.3940 0.3822 Tm
0.5000 0.5000 0.0000 Tm
0.5000 0.0000 0.0000 Zr
```

Properties
Crystal system: monoclinic
Energy relative to the elements in meV/atom: -107

Record 9
Compound: BaOsPtO6
Source: Alexandria
Functional: PBE
Structure: relaxed

Geometry as POSCAR:
```
BaOsPtO6
1.0
-1.0521 5.2472 -0.5233
-4.6435 1.6065 -2.1843
-2.4161 0.0303 5.1594
Pt Os O Ba
1 1 6 1
Direct
0.3333 0.3333 0.5000 Pt
0.6666 0.6667 0.5000 Os
0.3870 0.9894 0.6891 O
0.9894 0.6236 0.6891 O
0.6236 0.9894 0.3109 O
0.3870 0.6236 0.3109 O
0.6236 0.3870 0.6891 O
0.9894 0.3870 0.3109 O
0.0000 0.0000 0.0000 Ba
```

Properties
Uncorrected formation energy in eV per atom: -1.289
Crystal system: trigonal

Record 10
Compound: YCu2Ni
Source: Alexandria
Functional: PBE
Structure: relaxed

Geometry as POSCAR:
```
YCu2Ni
1.0
4.0483 0.0000 0.0000
0.0000 4.0483 0.0000
2.0241 2.0241 8.7287
Ni Cu Y
2 4 2
Direct
0.5000 0.5000 0.0000 Ni
0.2500 0.7500 0.5000 Ni
0.3750 0.4923 0.7500 Cu
0.5077 0.1250 0.2500 Cu
0.2423 0.6250 0.2500 Cu
0.8750 0.7577 0.7500 Cu
0.7500 0.2500 0.5000 Y
0.0000 0.0000 0.0000 Y
```

Properties
Crystal system: tetragonal
Energy relative to the elements in meV/atom: 59
Excess energy over the best structure of this formula in the dataset in meV per atom: 319

Number 1: E -8.603 eV per atom. Number 2: E -4.915 eV per atom. Number 3: E -5.601 eV per atom. Number 4: E -9.924 eV per atom. Number 5: E -5.138 eV per atom. Number 6: E -4.031 eV per atom. Number 7: E -4.957 eV per atom. Number 8: E -4.681 eV per atom. Number 9: E -6.727 eV per atom. Number 10: E -5.050 eV per atom.